[1]
Al2AgCl | GGA-PBE | relaxed

Computed properties:
The crystal system is trigonal. Its energy above the most stable polymorph in this dataset is 15.6 kJ per mole of atoms. Its energy relative to the elements, uncorrected is -0.069 eV per atom. The calculation puts the density of states at the Fermi level at 0.9 states/eV/cell. Its space group is R-3m, No. 166.

The structure in CIF format:
```
data_Al2AgCl
_chemical_formula_sum 'Al2 Ag1 Cl1'
_space_group_name_H-M_alt 'P 1'
_space_group_IT_number 1
_cell_length_a 7.9694
_cell_length_b 7.9694
_cell_length_c 7.9694
_cell_angle_alpha 24.52
_cell_angle_beta 24.52
_cell_angle_gamma 24.52
loop_
_space_group_symop_operation_xyz
'x,y,z'
loop_
_atom_site_label
_atom_site_fract_x
_atom_site_fract_y
_atom_site_fract_z
_atom_site_occupancy
Cl1 0.2500 0.2500 0.2500 1
Ag1 0.7500 0.7500 0.7500 1
Al1 0.0048 0.0048 0.0048 1
Al2 0.4952 0.4952 0.4952 1
```

=====

[2]
Sc4PaP5 | GGA-PBE | relaxed

Computed properties:
The crystal system is tetragonal. For the energy relative to the elements, the calculation gives -33.58 kcal/mol of atoms. The calculation puts the density of states at the Fermi level at 4.4 states/eV/cell. Its space group is I4/m, No. 87.

The structure in CIF format:
```
data_Sc4PaP5
_chemical_formula_sum 'Sc4 Pa1 P5'
_space_group_name_H-M_alt 'P 1'
_space_group_IT_number 1
_cell_length_a 5.4137
_cell_length_b 6.5929
_cell_length_c 6.5929
_cell_angle_alpha 80.30
_cell_angle_beta 65.76
_cell_angle_gamma 65.76
loop_
_space_group_symop_operation_xyz
'x,y,z'
loop_
_atom_site_label
_atom_site_fract_x
_atom_site_fract_y
_atom_site_fract_z
_atom_site_occupancy
P1 0.6965 0.2039 0.4050 1
P2 0.3054 0.7961 0.5950 1
P3 0.1015 0.5950 0.2039 1
P4 0.9004 0.4050 0.7961 1
P5 0.5012 0.0000 0.0000 1
Pa1 0.0012 0.0000 0.0000 1
Sc1 0.8036 0.7990 0.5958 1
Sc2 0.1984 0.2010 0.4042 1
Sc3 0.6026 0.5958 0.2010 1
Sc4 0.3994 0.4042 0.7990 1
```

=====

[3]
Rb2HoReO6 | GGA-PBE | relaxed

Computed properties:
The crystal system is cubic. Its energy relative to the elements, uncorrected is -2.199 eV per atom. Its space group is Fm-3m, No. 225.

The structure in CIF format:
```
data_Rb2HoReO6
_chemical_formula_sum 'Rb2 Ho1 Re1 O6'
_space_group_name_H-M_alt 'P 1'
_space_group_IT_number 1
_cell_length_a 5.9377
_cell_length_b 5.9377
_cell_length_c 5.9378
_cell_angle_alpha 120.00
_cell_angle_beta 120.00
_cell_angle_gamma 90.00
loop_
_space_group_symop_operation_xyz
'x,y,z'
loop_
_atom_site_label
_atom_site_fract_x
_atom_site_fract_y
_atom_site_fract_z
_atom_site_occupancy
O1 0.7722 0.2281 0.9998 1
O2 0.2276 0.7727 0.9998 1
O3 0.7722 0.7727 0.5444 1
O4 0.2276 0.2281 0.4552 1
O5 0.7722 0.7727 0.9998 1
O6 0.2276 0.2281 0.9998 1
Rb1 0.2499 0.7504 0.4998 1
Rb2 0.7499 0.2504 0.4998 1
Re1 0.9999 0.0004 0.9998 1
Ho1 0.4999 0.5004 0.9998 1
```

=====

| no. | volume (Å³ per atom) |
| --- | --- |
| 1 | 19.16 |
| 2 | 19.56 |
| 3 | 14.80 |